one) {
  "formula": "ScBeCu",
  "functional": "PBE",
  "state": "optimized geometry",
  "space_group": "F-43m (216)",
  "cell": [[0.000, 2.908, 2.908], [2.908, 0.000, 2.908], [2.908, 2.908, 0.000]],
  "species": ["Sc", "Cu", "Be"],
  "frac_coords": [[0.750, 0.750, 0.750], [0.000, 0.000, 0.000], [0.250, 0.250, 0.250]]
}


two) {
  "formula": "ScBeCu",
  "functional": "PBE",
  "state": "optimized geometry",
  "space_group": "F-43m (216)",
  "cell": [[0.618, -4.169, 0.016], [-2.185, -2.444, 2.649], [-2.984, -2.578, -1.487]],
  "species": ["Be", "Sc", "Cu"],
  "frac_coords": [[0.250, 0.250, 0.250], [0.000, 0.000, 0.000], [0.750, 0.750, 0.750]]
}


Which of them is the most stable, and which is the least stable? one) and two), in that order.


one) {
  "formula": "BeZnCuSi",
  "functional": "PBE",
  "state": "optimized geometry",
  "space_group": "F-43m (216)",
  "cell": [[0.000, 2.921, 2.921], [2.921, 0.000, 2.921], [2.921, 2.921, 0.000]],
  "species": ["Cu", "Zn", "Be", "Si"],
  "frac_coords": [[0.000, 0.000, 0.000], [0.750, 0.750, 0.750], [0.500, 0.500, 0.500], [0.250, 0.250, 0.250]]
}


two) {
  "formula": "BeZnCuSi",
  "functional": "PBE",
  "state": "optimized geometry",
  "space_group": "F-43m (216)",
  "cell": [[0.000, 2.935, 2.935], [2.935, 0.000, 2.935], [2.935, 2.935, 0.000]],
  "species": ["Si", "Be", "Zn", "Cu"],
  "frac_coords": [[0.000, 0.000, 0.000], [0.500, 0.500, 0.500], [0.750, 0.750, 0.750], [0.250, 0.250, 0.250]]
}


Which of them is the most stable, and which is the least stable? one) and two), in that order.


one) {
  "formula": "SmBeCu",
  "functional": "PBE",
  "state": "optimized geometry",
  "space_group": "F-43m (216)",
  "cell": [[0.736, -3.320, 2.793], [-2.116, -3.823, -0.520], [2.198, -3.565, -1.350]],
  "species": ["Sm", "Be", "Cu"],
  "frac_coords": [[0.750, 0.750, 0.750], [0.250, 0.250, 0.250], [0.000, 0.000, 0.000]]
}


two) {
  "formula": "SmBeCu",
  "functional": "PBE",
  "state": "optimized geometry",
  "space_group": "F-43m (216)",
  "cell": [[3.536, 1.769, 2.221], [0.014, 0.092, 4.534], [2.808, -2.706, 2.314]],
  "species": ["Cu", "Sm", "Be"],
  "frac_coords": [[0.750, 0.750, 0.750], [0.000, 0.000, 0.000], [0.250, 0.250, 0.250]]
}


Which of them is the most stable, and which is the least stable? one) and two), in that order.


one) {
  "formula": "TaBeCuSn",
  "functional": "PBE",
  "state": "optimized geometry",
  "space_group": "F-43m (216)",
  "cell": [[0.000, 3.130, 3.130], [3.130, 0.000, 3.130], [3.130, 3.130, 0.000]],
  "species": ["Ta", "Cu", "Be", "Sn"],
  "frac_coords": [[0.500, 0.500, 0.500], [0.750, 0.750, 0.750], [0.250, 0.250, 0.250], [0.000, 0.000, 0.000]]
}


two) {
  "formula": "TaBeCuSn",
  "functional": "PBE",
  "state": "optimized geometry",
  "space_group": "F-43m (216)",
  "cell": [[-2.707, 2.734, 2.298], [-2.649, 2.883, -2.181], [-4.433, -0.650, -0.079]],
  "species": ["Cu", "Be", "Sn", "Ta"],
  "frac_coords": [[0.750, 0.750, 0.750], [0.500, 0.500, 0.500], [0.000, 0.000, 0.000], [0.250, 0.250, 0.250]]
}


Which of them is the most stable, and which is the least stable? one) and two), in that order.


one) {
  "formula": "BeCuTcSn",
  "functional": "PBE",
  "state": "optimized geometry",
  "space_group": "F-43m (216)",
  "cell": [[1.911, -3.850, 0.572], [-2.382, -3.623, 0.005], [0.289, -2.789, -3.307]],
  "species": ["Sn", "Be", "Tc", "Cu"],
  "frac_coords": [[0.000, 0.000, 0.000], [0.500, 0.500, 0.500], [0.250, 0.250, 0.250], [0.750, 0.750, 0.750]]
}


two) {
  "formula": "BeCuTcSn",
  "functional": "PBE",
  "state": "optimized geometry",
  "space_group": "F-43m (216)",
  "cell": [[0.000, 3.031, 3.031], [3.031, 0.000, 3.031], [3.031, 3.031, 0.000]],
  "species": ["Cu", "Sn", "Tc", "Be"],
  "frac_coords": [[0.250, 0.250, 0.250], [0.000, 0.000, 0.000], [0.500, 0.500, 0.500], [0.750, 0.750, 0.750]]
}


Which of them is the most stable, and which is the least stable? one) and two), in that order.


one) {
  "formula": "SrBeCu",
  "functional": "PBE",
  "state": "optimized geometry",
  "space_group": "F-43m (216)",
  "cell": [[-2.165, -3.779, 2.227], [-4.269, 0.636, 2.303], [-4.095, -1.919, -1.865]],
  "species": ["Be", "Cu", "Sr"],
  "frac_coords": [[0.250, 0.250, 0.250], [0.750, 0.750, 0.750], [0.000, 0.000, 0.000]]
}


two) {
  "formula": "SrBeCu",
  "functional": "PBE",
  "state": "optimized geometry",
  "space_group": "F-43m (216)",
  "cell": [[0.000, 3.261, 3.261], [3.261, 0.000, 3.261], [3.261, 3.261, 0.000]],
  "species": ["Be", "Sr", "Cu"],
  "frac_coords": [[0.000, 0.000, 0.000], [0.750, 0.750, 0.750], [0.250, 0.250, 0.250]]
}


Which of them is the most stable, and which is the least stable? two) and one), in that order.